Entry 1:
DFT (GGA-PBE) results for a relaxed TaIrSe3 crystal.

E: -5.364 eV per atom
size of the total moment: 2.443 μB/cell
mass density: 8.260 g/cm3
ΔE_f (raw): 870 meV per atom

Cell and atoms, written as CIF:
```
data_TaIrSe3
_chemical_formula_sum 'Ta1 Ir1 Se3'
_space_group_name_H-M_alt 'P 1'
_space_group_IT_number 1
_space_group_name_Hall 'P 1'
_cell_length_a 4.968
_cell_length_b 4.968
_cell_length_c 4.968
_cell_angle_alpha 90.00
_cell_angle_beta 90.00
_cell_angle_gamma 90.00
loop_
_atom_site_label
_atom_site_fract_x
_atom_site_fract_y
_atom_site_fract_z
Ta1 0.000 0.000 0.000
Ir1 0.500 0.500 0.500
Se1 0.000 0.000 0.500
Se2 0.000 0.500 0.000
Se3 0.500 0.000 0.000
```



Entry 2:
DFT (GGA-PBE) results for a relaxed Ta2IrSe crystal.

E: -9.083 eV per atom
size of the total moment: 0.000 μB/cell
mass density: 15.608 g/cm3
ΔE_f (raw): -70 meV per atom

Cell and atoms, written as CIF:
```
data_Ta2IrSe
_chemical_formula_sum 'Ta2 Ir1 Se1'
_space_group_name_H-M_alt 'P 1'
_space_group_IT_number 1
_space_group_name_Hall 'P 1'
_cell_length_a 8.748
_cell_length_b 8.748
_cell_length_c 8.748
_cell_angle_alpha 19.83
_cell_angle_beta 19.83
_cell_angle_gamma 19.83
loop_
_atom_site_label
_atom_site_fract_x
_atom_site_fract_y
_atom_site_fract_z
Ta1 0.247 0.247 0.247
Ta2 0.753 0.753 0.753
Ir1 0.000 0.000 0.000
Se1 0.500 0.500 0.500
```



Entry 3:
DFT (GGA-PBE) results for a relaxed TaIrSe2 crystal.

E: -6.779 eV per atom
size of the total moment: 0.000 μB/cell
mass density: 13.376 g/cm3
ΔE_f (raw): 142 meV per atom

Cell and atoms, written as CIF:
```
data_TaIrSe2
_chemical_formula_sum 'Ta1 Ir1 Se2'
_space_group_name_H-M_alt 'P 1'
_space_group_IT_number 1
_space_group_name_Hall 'P 1'
_cell_length_a 4.535
_cell_length_b 4.535
_cell_length_c 4.535
_cell_angle_alpha 60.00
_cell_angle_beta 60.00
_cell_angle_gamma 60.00
loop_
_atom_site_label
_atom_site_fract_x
_atom_site_fract_y
_atom_site_fract_z
Ta1 0.000 0.000 0.000
Ir1 0.500 0.500 0.500
Se1 0.250 0.250 0.250
Se2 0.750 0.750 0.750
```



Entry 4:
DFT (GGA-PBE) results for a relaxed Ta2IrSe crystal.

E: -8.914 eV per atom
size of the total moment: 0.000 μB/cell
mass density: 15.233 g/cm3
ΔE_f (raw): 99 meV per atom

Cell and atoms, written as CIF:
```
data_Ta2IrSe
_chemical_formula_sum 'Ta2 Ir1 Se1'
_space_group_name_H-M_alt 'P 1'
_space_group_IT_number 1
_space_group_name_Hall 'P 1'
_cell_length_a 4.946
_cell_length_b 3.053
_cell_length_c 5.128
_cell_angle_alpha 90.00
_cell_angle_beta 116.98
_cell_angle_gamma 90.00
loop_
_atom_site_label
_atom_site_fract_x
_atom_site_fract_y
_atom_site_fract_z
Ta1 0.000 0.000 0.000
Ta2 0.000 0.500 0.500
Ir1 0.500 0.000 0.500
Se1 0.500 0.500 0.000
```



Entry 5:
DFT (GGA-PBE) results for a relaxed Ta2IrSe crystal.

E: -9.156 eV per atom
size of the total moment: 0.000 μB/cell
mass density: 15.756 g/cm3
ΔE_f (raw): -143 meV per atom

Cell and atoms, written as CIF:
```
data_Ta2IrSe
_chemical_formula_sum 'Ta2 Ir1 Se1'
_space_group_name_H-M_alt 'P 1'
_space_group_IT_number 1
_space_group_name_Hall 'P 1'
_cell_length_a 5.498
_cell_length_b 5.498
_cell_length_c 5.498
_cell_angle_alpha 147.61
_cell_angle_beta 130.87
_cell_angle_gamma 60.08
loop_
_atom_site_label
_atom_site_fract_x
_atom_site_fract_y
_atom_site_fract_z
Ta1 0.000 0.000 0.000
Ta2 0.714 0.214 0.500
Ir1 0.255 0.755 0.500
Se1 0.488 0.488 0.000
```



Entry 6:
DFT (GGA-PBE) results for a relaxed TaIrSe2 crystal.

E: -6.591 eV per atom
size of the total moment: 0.000 μB/cell
mass density: 11.985 g/cm3
ΔE_f (raw): 329 meV per atom

Cell and atoms, written as CIF:
```
data_TaIrSe2
_chemical_formula_sum 'Ta1 Ir1 Se2'
_space_group_name_H-M_alt 'P 1'
_space_group_IT_number 1
_space_group_name_Hall 'P 1'
_cell_length_a 4.107
_cell_length_b 4.107
_cell_length_c 4.396
_cell_angle_alpha 90.00
_cell_angle_beta 90.00
_cell_angle_gamma 97.03
loop_
_atom_site_label
_atom_site_fract_x
_atom_site_fract_y
_atom_site_fract_z
Ta1 0.000 0.000 0.000
Ir1 0.500 0.500 0.000
Se1 0.250 0.750 0.500
Se2 0.750 0.250 0.500
```



Entry 7:
DFT (GGA-PBE) results for a relaxed TaIrSe3 crystal.

E: -6.655 eV per atom
size of the total moment: 0.000 μB/cell
mass density: 7.350 g/cm3
ΔE_f (raw): -422 meV per atom

Cell and atoms, written as CIF:
```
data_TaIrSe3
_chemical_formula_sum 'Ta4 Ir4 Se12'
_space_group_name_H-M_alt 'P 1'
_space_group_IT_number 1
_space_group_name_Hall 'P 1'
_cell_length_a 12.708
_cell_length_b 3.449
_cell_length_c 12.575
_cell_angle_alpha 90.00
_cell_angle_beta 90.00
_cell_angle_gamma 90.00
loop_
_atom_site_label
_atom_site_fract_x
_atom_site_fract_y
_atom_site_fract_z
Ta1 0.205 0.250 0.206
Ta2 0.295 0.750 0.706
Ta3 0.705 0.250 0.294
Ta4 0.795 0.750 0.794
Ir1 0.038 0.750 0.229
Ir2 0.462 0.250 0.729
Ir3 0.538 0.750 0.271
Ir4 0.962 0.250 0.771
Se1 0.077 0.250 0.359
Se2 0.149 0.750 0.064
Se3 0.157 0.250 0.774
Se4 0.343 0.750 0.274
Se5 0.351 0.250 0.564
Se6 0.423 0.750 0.859
Se7 0.577 0.250 0.141
Se8 0.649 0.750 0.436
Se9 0.657 0.250 0.726
Se10 0.843 0.750 0.226
Se11 0.851 0.250 0.936
Se12 0.923 0.750 0.641
```



Entry 8:
DFT (GGA-PBE) results for a relaxed Ta2IrSe crystal.

E: -8.994 eV per atom
size of the total moment: 0.000 μB/cell
mass density: 15.459 g/cm3
ΔE_f (raw): 19 meV per atom

Cell and atoms, written as CIF:
```
data_Ta2IrSe
_chemical_formula_sum 'Ta2 Ir1 Se1'
_space_group_name_H-M_alt 'P 1'
_space_group_IT_number 1
_space_group_name_Hall 'P 1'
_cell_length_a 3.353
_cell_length_b 4.225
_cell_length_c 4.799
_cell_angle_alpha 90.00
_cell_angle_beta 90.00
_cell_angle_gamma 90.00
loop_
_atom_site_label
_atom_site_fract_x
_atom_site_fract_y
_atom_site_fract_z
Ta1 0.000 0.000 0.000
Ta2 0.500 0.000 0.500
Ir1 0.000 0.500 0.500
Se1 0.500 0.500 0.000
```



Entry 9:
DFT (GGA-PBE) results for a relaxed TaIrSe2 crystal.

E: -6.586 eV per atom
size of the total moment: 0.000 μB/cell
mass density: 12.599 g/cm3
ΔE_f (raw): 334 meV per atom

Cell and atoms, written as CIF:
```
data_TaIrSe2
_chemical_formula_sum 'Ta1 Ir1 Se2'
_space_group_name_H-M_alt 'P 1'
_space_group_IT_number 1
_space_group_name_Hall 'P 1'
_cell_length_a 3.059
_cell_length_b 4.309
_cell_length_c 5.310
_cell_angle_alpha 90.00
_cell_angle_beta 90.00
_cell_angle_gamma 90.00
loop_
_atom_site_label
_atom_site_fract_x
_atom_site_fract_y
_atom_site_fract_z
Ta1 0.000 0.000 0.000
Ir1 0.500 0.000 0.500
Se1 0.000 0.500 0.500
Se2 0.500 0.500 0.000
```



Entry 10:
DFT (GGA-PBE) results for a relaxed TaIrSe2 crystal.

E: -7.168 eV per atom
size of the total moment: 0.001 μB/cell
mass density: 9.079 g/cm3
ΔE_f (raw): -248 meV per atom

Cell and atoms, written as CIF:
```
data_TaIrSe2
_chemical_formula_sum 'Ta1 Ir1 Se2'
_space_group_name_H-M_alt 'P 1'
_space_group_IT_number 1
_space_group_name_Hall 'P 1'
_cell_length_a 7.055
_cell_length_b 7.055
_cell_length_c 7.055
_cell_angle_alpha 149.67
_cell_angle_beta 146.67
_cell_angle_gamma 45.68
loop_
_atom_site_label
_atom_site_fract_x
_atom_site_fract_y
_atom_site_fract_z
Ta1 0.000 0.000 0.000
Ir1 0.500 0.500 0.000
Se1 0.364 0.864 0.500
Se2 0.636 0.136 0.500
```



Entry 11:
DFT (GGA-PBE) results for a relaxed TaIrSe2 crystal.

E: -7.179 eV per atom
size of the total moment: 0.000 μB/cell
mass density: 9.168 g/cm3
ΔE_f (raw): -258 meV per atom

Cell and atoms, written as CIF:
```
data_TaIrSe2
_chemical_formula_sum 'Ta1 Ir1 Se2'
_space_group_name_H-M_alt 'P 1'
_space_group_IT_number 1
_space_group_name_Hall 'P 1'
_cell_length_a 7.009
_cell_length_b 7.009
_cell_length_c 4.457
_cell_angle_alpha 96.25
_cell_angle_beta 96.25
_cell_angle_gamma 26.24
loop_
_atom_site_label
_atom_site_fract_x
_atom_site_fract_y
_atom_site_fract_z
Ta1 0.000 0.000 0.000
Ir1 0.500 0.500 0.500
Se1 0.355 0.355 0.791
Se2 0.645 0.645 0.209
```



Entry 12:
DFT (GGA-PBE) results for a relaxed TaIrSe2 crystal.

E: -7.312 eV per atom
size of the total moment: 0.000 μB/cell
mass density: 8.992 g/cm3
ΔE_f (raw): -391 meV per atom

Cell and atoms, written as CIF:
```
data_TaIrSe2
_chemical_formula_sum 'Ta1 Ir1 Se2'
_space_group_name_H-M_alt 'P 1'
_space_group_IT_number 1
_space_group_name_Hall 'P 1'
_cell_length_a 4.008
_cell_length_b 4.008
_cell_length_c 7.400
_cell_angle_alpha 105.27
_cell_angle_beta 105.27
_cell_angle_gamma 60.03
loop_
_atom_site_label
_atom_site_fract_x
_atom_site_fract_y
_atom_site_fract_z
Ta1 0.000 0.000 0.000
Ir1 0.715 0.715 0.148
Se1 0.438 0.438 0.322
Se2 0.598 0.598 0.790
```



Entry 13:
DFT (GGA-PBE) results for a relaxed Ta2IrSe crystal.

E: -9.268 eV per atom
size of the total moment: 0.000 μB/cell
mass density: 14.993 g/cm3
ΔE_f (raw): -255 meV per atom

Cell and atoms, written as CIF:
```
data_Ta2IrSe
_chemical_formula_sum 'Ta2 Ir1 Se1'
_space_group_name_H-M_alt 'P 1'
_space_group_IT_number 1
_space_group_name_Hall 'P 1'
_cell_length_a 3.322
_cell_length_b 3.322
_cell_length_c 6.352
_cell_angle_alpha 90.00
_cell_angle_beta 90.00
_cell_angle_gamma 90.00
loop_
_atom_site_label
_atom_site_fract_x
_atom_site_fract_y
_atom_site_fract_z
Ta1 0.000 0.000 0.000
Ta2 0.500 0.500 0.304
Ir1 0.000 0.000 0.489
Se1 0.500 0.500 0.802
```



Entry 14:
DFT (GGA-PBE) results for a relaxed Ta2IrSe crystal.

E: -8.930 eV per atom
size of the total moment: 0.000 μB/cell
mass density: 14.452 g/cm3
ΔE_f (raw): 83 meV per atom

Cell and atoms, written as CIF:
```
data_Ta2IrSe
_chemical_formula_sum 'Ta4 Ir2 Se2'
_space_group_name_H-M_alt 'P 1'
_space_group_IT_number 1
_space_group_name_Hall 'P 1'
_cell_length_a 5.787
_cell_length_b 5.787
_cell_length_c 5.787
_cell_angle_alpha 104.54
_cell_angle_beta 104.54
_cell_angle_gamma 119.85
loop_
_atom_site_label
_atom_site_fract_x
_atom_site_fract_y
_atom_site_fract_z
Ta1 0.125 0.625 0.000
Ta2 0.375 0.375 0.500
Ta3 0.625 0.125 0.000
Ta4 0.875 0.875 0.500
Ir1 0.000 0.000 0.000
Ir2 0.750 0.250 0.500
Se1 0.250 0.750 0.500
Se2 0.500 0.500 0.000
```



Entry 15:
DFT (GGA-PBE) results for a relaxed TaIrSe2 crystal.

E: -7.096 eV per atom
size of the total moment: 0.000 μB/cell
mass density: 11.640 g/cm3
ΔE_f (raw): -176 meV per atom

Cell and atoms, written as CIF:
```
data_TaIrSe2
_chemical_formula_sum 'Ta1 Ir1 Se2'
_space_group_name_H-M_alt 'P 1'
_space_group_IT_number 1
_space_group_name_Hall 'P 1'
_cell_length_a 3.033
_cell_length_b 3.033
_cell_length_c 8.235
_cell_angle_alpha 90.00
_cell_angle_beta 90.00
_cell_angle_gamma 90.00
loop_
_atom_site_label
_atom_site_fract_x
_atom_site_fract_y
_atom_site_fract_z
Ta1 0.000 0.000 0.000
Ir1 0.500 0.500 0.234
Se1 0.000 0.000 0.437
Se2 0.500 0.500 0.809
```



Entry 16:
DFT (GGA-PBE) results for a relaxed TaIrSe2 crystal.

E: -6.832 eV per atom
size of the total moment: 0.000 μB/cell
mass density: 12.768 g/cm3
ΔE_f (raw): 88 meV per atom

Cell and atoms, written as CIF:
```
data_TaIrSe2
_chemical_formula_sum 'Ta1 Ir1 Se2'
_space_group_name_H-M_alt 'P 1'
_space_group_IT_number 1
_space_group_name_Hall 'P 1'
_cell_length_a 5.752
_cell_length_b 5.752
_cell_length_c 5.752
_cell_angle_alpha 149.12
_cell_angle_beta 134.60
_cell_angle_gamma 55.91
loop_
_atom_site_label
_atom_site_fract_x
_atom_site_fract_y
_atom_site_fract_z
Ta1 0.000 0.000 0.000
Ir1 0.228 0.728 0.500
Se1 0.459 0.459 0.000
Se2 0.748 0.248 0.500
```



Entry 17:
DFT (GGA-PBE) results for a relaxed TaIrSe2 crystal.

E: -7.084 eV per atom
size of the total moment: 0.000 μB/cell
mass density: 10.719 g/cm3
ΔE_f (raw): -163 meV per atom

Cell and atoms, written as CIF:
```
data_TaIrSe2
_chemical_formula_sum 'Ta1 Ir1 Se2'
_space_group_name_H-M_alt 'P 1'
_space_group_IT_number 1
_space_group_name_Hall 'P 1'
_cell_length_a 9.127
_cell_length_b 9.127
_cell_length_c 9.127
_cell_angle_alpha 20.58
_cell_angle_beta 20.58
_cell_angle_gamma 20.58
loop_
_atom_site_label
_atom_site_fract_x
_atom_site_fract_y
_atom_site_fract_z
Ta1 0.000 0.000 0.000
Ir1 0.750 0.750 0.750
Se1 0.268 0.268 0.268
Se2 0.475 0.475 0.475
```



Entry 18:
DFT (GGA-PBE) results for a relaxed Ta2IrSe crystal.

E: -9.199 eV per atom
size of the total moment: 0.000 μB/cell
mass density: 15.344 g/cm3
ΔE_f (raw): -186 meV per atom

Cell and atoms, written as CIF:
```
data_Ta2IrSe
_chemical_formula_sum 'Ta2 Ir1 Se1'
_space_group_name_H-M_alt 'P 1'
_space_group_IT_number 1
_space_group_name_Hall 'P 1'
_cell_length_a 3.037
_cell_length_b 4.735
_cell_length_c 4.819
_cell_angle_alpha 90.00
_cell_angle_beta 98.66
_cell_angle_gamma 90.00
loop_
_atom_site_label
_atom_site_fract_x
_atom_site_fract_y
_atom_site_fract_z
Ta1 0.000 0.000 0.000
Ta2 0.034 0.500 0.401
Ir1 0.586 0.000 0.492
Se1 0.411 0.500 0.955
```



Entry 19:
DFT (GGA-PBE) results for a relaxed Ta2IrSe crystal.

E: -8.938 eV per atom
size of the total moment: 0.000 μB/cell
mass density: 15.472 g/cm3
ΔE_f (raw): 75 meV per atom

Cell and atoms, written as CIF:
```
data_Ta2IrSe
_chemical_formula_sum 'Ta2 Ir1 Se1'
_space_group_name_H-M_alt 'P 1'
_space_group_IT_number 1
_space_group_name_Hall 'P 1'
_cell_length_a 5.380
_cell_length_b 5.380
_cell_length_c 5.380
_cell_angle_alpha 138.39
_cell_angle_beta 138.39
_cell_angle_gamma 60.31
loop_
_atom_site_label
_atom_site_fract_x
_atom_site_fract_y
_atom_site_fract_z
Ta1 0.000 0.000 0.000
Ta2 0.750 0.250 0.500
Ir1 0.250 0.750 0.500
Se1 0.500 0.500 0.000
```



Entry 20:
DFT (GGA-PBE) results for a relaxed TaIrSe4 crystal.

E: -4.549 eV per atom
size of the total moment: 0.000 μB/cell
mass density: 10.193 g/cm3
ΔE_f (raw): 1227 meV per atom

Cell and atoms, written as CIF:
```
data_TaIrSe4
_chemical_formula_sum 'Ta1 Ir1 Se4'
_space_group_name_H-M_alt 'P 1'
_space_group_IT_number 1
_space_group_name_Hall 'P 1'
_cell_length_a 5.415
_cell_length_b 5.415
_cell_length_c 5.415
_cell_angle_alpha 60.00
_cell_angle_beta 60.00
_cell_angle_gamma 60.00
loop_
_atom_site_label
_atom_site_fract_x
_atom_site_fract_y
_atom_site_fract_z
Ta1 0.000 0.000 0.000
Ir1 0.750 0.750 0.750
Se1 0.376 0.376 0.376
Se2 0.376 0.376 0.873
Se3 0.376 0.873 0.376
Se4 0.873 0.376 0.376
```